Entry 1:
Pm2SiGe3Ir4, optimized geometry, DFT GGA-PBE; DOS(E_F) = 4.9 states/eV/cell; SG = P-4m2, No. 115
1.0
-2.046 -0.400 -3.705
-0.191 -4.209 0.560
-8.841 1.036 4.771
Si Ge Ir Pm
1 3 4 2
Cartesian
-5.539 -1.786 0.813
-8.685 0.698 2.282
-1.274 -1.967 0.916
-4.421 0.518 2.385
-1.119 -2.305 -1.572
-6.533 0.446 1.121
-3.427 -1.714 2.077
0.000 0.000 0.000
-6.667 -1.334 3.826
-3.292 0.066 -0.628

Entry 2:
Pm2Si3GeIr4, optimized geometry, DFT GGA-PBE; DOS(E_F) = 4.6 states/eV/cell; SG = P-4m2, No. 115
1.0
4.206 0.000 0.000
0.000 4.206 0.000
0.000 0.000 9.933
Pm Ir Si Ge
2 4 3 1
Cartesian
2.103 0.000 2.526
0.000 2.103 7.407
2.103 0.000 6.267
0.000 2.103 3.666
0.000 0.000 0.000
2.103 2.103 0.000
0.000 2.103 1.279
0.000 0.000 4.967
2.103 0.000 8.654
2.103 2.103 4.967

Entry 3:
PmSiGeIr2, optimized geometry, DFT GGA-PBE; DOS(E_F) = 2.3 states/eV/cell; SG = P4mm, No. 99
1.0
-2.808 1.219 -2.806
-3.051 -1.395 2.447
-0.352 5.833 2.887
Si Ir Pm Ge
1 2 1 1
Cartesian
-3.072 -1.044 2.621
-1.835 4.432 3.762
-4.764 4.343 3.583
-0.183 3.021 1.495
-3.163 3.779 1.735

no.,formation energy from raw total energies (meV/atom)
1,-833
2,-982
3,-503